# 1
Computed, not measured: a geometry-optimized Ti2Nb2Cu3O12 structure at the GGA-PBE level of DFT.

Density of states at the Fermi level ... 0.1680 states/eV per atom
Raw formation energy ... -193.6 kJ/mol of atoms
E_tot ... -0.2821 Ha/atom
Crystal system ... monoclinic

a = 6.4875 Å, b = 6.4875 Å, c = 7.5157 Å
α = 124.88°, β = 124.88°, γ = 70.96°
With the nearest neighbours (Å) after each atom.
Fractional coordinates of all 19 atoms:
Ti 0.0000 0.5000 0.0000  6 O 1.99-2.00
Ti 0.5000 0.0000 0.0000  6 O 1.99-2.00
Nb 0.0000 0.5000 0.5000  6 O 2.01-2.02
Nb 0.5000 0.0000 0.5000  6 O 2.01-2.02
Cu 0.0000 0.0000 0.0000  4 O 1.97
Cu 0.0000 0.0000 0.5000  4 O 1.96
Cu 0.5000 0.5000 0.0000  4 O 1.95-1.96
O 0.0076 0.3692 0.1869  1 Cu 1.97, 1 Ti 1.99, 1 Nb 2.02
O 0.1866 0.8102 0.3175  1 Cu 1.96, 1 Ti 2.00, 1 Nb 2.01
O 0.1898 0.8134 0.6825  1 Cu 1.96, 1 Ti 2.00, 1 Nb 2.01
O 0.3167 0.3167 0.0051  1 Cu 1.96, 2 Ti 2.00
O 0.3223 0.3223 0.6348  1 Cu 1.95, 2 Nb 2.02
O 0.3692 0.0076 0.1869  1 Cu 1.97, 1 Ti 1.99, 1 Nb 2.02
O 0.6308 0.9924 0.8131  1 Cu 1.97, 1 Ti 1.99, 1 Nb 2.02
O 0.6777 0.6777 0.3652  1 Cu 1.95, 2 Nb 2.02
O 0.6833 0.6833 0.9949  1 Cu 1.96, 2 Ti 2.00
O 0.8102 0.1866 0.3175  1 Cu 1.96, 1 Ti 2.00, 1 Nb 2.01
O 0.8134 0.1898 0.6825  1 Cu 1.96, 1 Ti 2.00, 1 Nb 2.01
O 0.9924 0.6308 0.8131  1 Cu 1.97, 1 Ti 1.99, 1 Nb 2.02

=====

# 2
Computed, not measured: a geometry-optimized Ce4PtAu structure at the GGA-PBE level of DFT.

Density of states at the Fermi level ... 2.2279 states/eV per atom
Calculated formation energy ... -0.52 eV/atom
E_tot ... -0.2217 Ha/atom
Crystal system ... monoclinic

a = 7.6706 Å, b = 7.6706 Å, c = 5.7523 Å
α = 103.55°, β = 103.55°, γ = 111.63°
With the nearest neighbours (Å) after each atom.
Fractional coordinates of all 12 atoms:
Ce 0.0775 0.6848 0.8608  3 Ce 2.82-2.97, 2 Pt 3.00-3.12, 1 Au 3.13
Ce 0.2022 0.4002 0.6527  3 Ce 2.82-3.13, 2 Pt 3.03-3.08, 2 Au 3.14-3.15
Ce 0.3152 0.9225 0.6392  3 Ce 2.82-2.97, 2 Pt 3.00-3.12, 1 Au 3.13
Ce 0.4002 0.2022 0.1527  3 Ce 2.82-3.13, 2 Pt 3.03-3.08, 2 Au 3.14-3.15
Ce 0.5998 0.7978 0.8473  3 Ce 2.82-3.13, 2 Pt 3.03-3.08, 2 Au 3.14-3.15
Ce 0.6848 0.0775 0.3608  3 Ce 2.82-2.97, 2 Pt 3.00-3.12, 1 Au 3.13
Ce 0.7978 0.5998 0.3473  3 Ce 2.82-3.13, 2 Pt 3.03-3.08, 2 Au 3.14-3.15
Ce 0.9225 0.3152 0.1392  3 Ce 2.82-2.97, 2 Pt 3.00-3.12, 1 Au 3.13
Pt 0.0232 0.9768 0.2500  2 Pt 2.94, 8 Ce 3.00-3.12
Pt 0.9768 0.0232 0.7500  2 Pt 2.94, 8 Ce 3.00-3.12
Au 0.3835 0.6165 0.2500  10 Ce 3.13-3.41
Au 0.6165 0.3835 0.7500  10 Ce 3.13-3.41

=====

# 3
Computed, not measured: a geometry-optimized LiPrSmCo structure at the GGA-PBE level of DFT.

Density of states at the Fermi level ... 0.9288 states/eV per atom
Calculated formation energy ... 0.04 eV/atom
E_tot ... -0.1687 Ha/atom
Crystal system ... cubic

a = 5.0225 Å, b = 5.0225 Å, c = 5.0225 Å
α = 60.00°, β = 60.00°, γ = 60.00°
With the nearest neighbours (Å) after each atom.
Fractional coordinates of all 4 atoms:
Li 0.0000 0.0000 0.0000  4 Sm 3.08, 4 Pr 3.08
Pr 0.7500 0.7500 0.7500  4 Li 3.08, 4 Co 3.08
Sm 0.2500 0.2500 0.2500  4 Co 3.08, 4 Li 3.08
Co 0.5000 0.5000 0.5000  4 Pr 3.08, 4 Sm 3.08

=====

# 4
Computed, not measured: a geometry-optimized LaGeTe2N structure at the GGA-PBE level of DFT.

Density of states at the Fermi level ... 0.8029 states/eV per atom
Raw formation energy ... 31.5 kJ/mol of atoms
E_tot ... -0.1655 Ha/atom
Crystal system ... tetragonal

a = 6.4011 Å, b = 6.4011 Å, c = 4.0111 Å
α = 90.00°, β = 90.00°, γ = 90.00°
With the nearest neighbours (Å) after each atom.
Fractional coordinates of all 5 atoms:
La 0.0000 0.0000 0.0000  2 N 2.01
Ge 0.5000 0.5000 0.5000  8 Te 3.78, 2 Ge 4.01
Te 0.0000 0.5000 0.0000  2 La 3.20
Te 0.5000 0.0000 0.0000  2 La 3.20
N 0.0000 0.0000 0.5000  2 La 2.01

=====

# 5
Computed, not measured: a geometry-optimized Yb2Mg structure at the GGA-PBE level of DFT.

Density of states at the Fermi level ... 0.7005 states/eV per atom
Calculated formation energy ... -0.03 eV/atom
E_tot ... -0.0581 Ha/atom
Crystal system ... tetragonal

a = 7.3279 Å, b = 7.3279 Å, c = 7.3279 Å
α = 149.25°, β = 149.25°, γ = 44.04°
With the nearest neighbours (Å) after each atom.
Fractional coordinates of all 3 atoms:
Yb 0.1485 0.1485 0.0000  4 Mg 3.41
Yb 0.8514 0.8514 0.0000  4 Mg 3.41
Mg 0.5000 0.5000 0.0000  8 Yb 3.41

=====

# 6
Computed, not measured: a geometry-optimized LiCeSn structure at the GGA-PBE level of DFT.

Density of states at the Fermi level ... 1.6678 states/eV per atom
Calculated formation energy ... -0.29 eV/atom
E_tot ... -0.1558 Ha/atom
Crystal system ... tetragonal

a = 12.2119 Å, b = 12.2119 Å, c = 12.2119 Å
α = 163.96°, β = 163.96°, γ = 22.75°
With the nearest neighbours (Å) after each atom.
Fractional coordinates of all 6 atoms:
Li 0.2185 0.2185 0.0000  4 Li 2.84, 5 Sn 2.87-3.07
Li 0.7815 0.7815 0.0000  4 Li 2.84, 5 Sn 2.87-3.07
Ce 0.0560 0.0560 0.0000  1 Ce 2.68
Ce 0.9440 0.9440 0.0000  1 Ce 2.68
Sn 0.3467 0.3467 0.0000  5 Li 2.87-3.07
Sn 0.6533 0.6533 0.0000  5 Li 2.87-3.07

=====

# 7
Computed, not measured: a geometry-optimized Zn2GaPt2 structure at the GGA-PBE level of DFT.

Density of states at the Fermi level ... 0.3318 states/eV per atom
Calculated formation energy ... -0.36 eV/atom
E_tot ... -0.1431 Ha/atom
Crystal system ... tetragonal

a = 7.5428 Å, b = 7.5428 Å, c = 2.7953 Å
α = 90.00°, β = 90.00°, γ = 90.00°
With the nearest neighbours (Å) after each atom.
Fractional coordinates of all 10 atoms:
Zn 0.1271 0.3729 0.0000  6 Pt 2.59-2.65, 3 Zn 2.71-2.80
Zn 0.3729 0.8729 0.0000  6 Pt 2.59-2.65, 3 Zn 2.71-2.80
Zn 0.6271 0.1271 0.0000  6 Pt 2.59-2.65, 3 Zn 2.71-2.80
Zn 0.8729 0.6271 0.0000  6 Pt 2.59-2.65, 3 Zn 2.71-2.80
Ga 0.0000 0.0000 0.0000  2 Ga 2.80, 4 Zn 2.97
Ga 0.5000 0.5000 0.0000  2 Ga 2.80, 4 Zn 2.97
Pt 0.1688 0.6688 0.5000  6 Zn 2.59-2.65, 2 Pt 2.80
Pt 0.3312 0.1688 0.5000  6 Zn 2.59-2.65, 2 Pt 2.80
Pt 0.6688 0.8312 0.5000  6 Zn 2.59-2.65, 2 Pt 2.80
Pt 0.8312 0.3312 0.5000  6 Zn 2.59-2.65, 2 Pt 2.80

=====

# 8
Computed, not measured: a geometry-optimized Pr3Nd6Sc structure at the GGA-PBE level of DFT.

Density of states at the Fermi level ... 1.9136 states/eV per atom
Calculated formation energy ... 0.21 eV/atom
E_tot ... -0.1735 Ha/atom
Crystal system ... trigonal

a = 7.0397 Å, b = 7.0397 Å, c = 7.0397 Å
α = 91.19°, β = 91.19°, γ = 91.19°
With the nearest neighbours (Å) after each atom.
Fractional coordinates of all 10 atoms:
Pr 0.0000 0.0000 0.0000  2 Pr 3.05
Pr 0.2555 0.2555 0.2555  1 Sc 2.92, 1 Pr 3.05
Pr 0.7445 0.7445 0.7445  1 Sc 2.92, 1 Pr 3.05
Nd 0.0834 0.4248 0.7449  2 Pr 3.31-3.56, 1 Sc 3.47
Nd 0.2551 0.9166 0.5752  2 Pr 3.31-3.56, 1 Sc 3.47
Nd 0.4248 0.7449 0.0834  2 Pr 3.31-3.56, 1 Sc 3.47
Nd 0.5752 0.2551 0.9166  2 Pr 3.31-3.56, 1 Sc 3.47
Nd 0.7449 0.0834 0.4248  2 Pr 3.31-3.56, 1 Sc 3.47
Nd 0.9166 0.5752 0.2551  2 Pr 3.31-3.56, 1 Sc 3.47
Sc 0.5000 0.5000 0.5000  2 Pr 2.92

=====

Question: What is the density of states at the Fermi level in the first record?
Answer: 0.1680 states/eV per atom